A plane-wave DFT calculation with PBE-GGA was carried out for a geometry-optimized ErNbTc structure.

Properties
Density in g cm⁻³: 9.16
SG: F-43m, No. 216
ΔH_f (0 K) in meV per atom: 621

Cell: 6.3811 6.3811 6.3811 Å, 90.00 90.00 90.00°
With the nearest neighbours (Å) after each atom.
Fractional positions:
Er1 0.0000 0.0000 0.0000  4 Nb 2.76
Er2 0.0000 0.5000 0.5000  4 Nb 2.76
Er3 0.5000 0.0000 0.5000  4 Nb 2.76
Er4 0.5000 0.5000 0.0000  4 Nb 2.76
Nb1 0.2500 0.2500 0.2500  4 Tc 2.76, 4 Er 2.76
Nb2 0.2500 0.7500 0.7500  4 Tc 2.76, 4 Er 2.76
Nb3 0.7500 0.2500 0.7500  4 Tc 2.76, 4 Er 2.76
Nb4 0.7500 0.7500 0.2500  4 Tc 2.76, 4 Er 2.76
Tc1 0.0000 0.0000 0.5000  4 Nb 2.76
Tc2 0.0000 0.5000 0.0000  4 Nb 2.76
Tc3 0.5000 0.0000 0.0000  4 Nb 2.76
Tc4 0.5000 0.5000 0.5000  4 Nb 2.76